First-principles (PBE) data for crystalline AcSm3Er4 at its relaxed geometry, as listed in the Alexandria database.

abc: 3.475 11.748 13.210
angles: 90.00 90.00 90.00
Sites, in units of the cell vectors:
Ac 0.000 0.000 0.000
Ac 0.500 0.500 0.500
Sm 0.000 0.000 0.500
Sm 0.000 0.500 0.256
Sm 0.000 0.500 0.744
Sm 0.500 0.000 0.244
Sm 0.500 0.000 0.756
Sm 0.500 0.500 0.000
Er 0.000 0.254 0.137
Er 0.000 0.254 0.863
Er 0.000 0.746 0.137
Er 0.000 0.746 0.863
Er 0.500 0.246 0.363
Er 0.500 0.246 0.637
Er 0.500 0.754 0.363
Er 0.500 0.754 0.637

Total energy (eV/f.u.): -35.19
Fermi-level density of states (states/eV/cell): 27.60
Formation energy (eV/atom): 0.17
SG: Immm, No. 71
Crystal system: orthorhombic